The following is a PBE calculation of a relaxed Pm4SbP3 crystal, from the Alexandria database.

abc: 4.202 5.991 8.479
angles: 90.00 90.00 90.00
Fractional coordinates of all 8 atoms:
Pm 0.000 0.000 0.000
Pm 0.000 0.000 0.500
Pm 0.500 0.500 0.232
Pm 0.500 0.500 0.768
Sb 0.000 0.500 0.500
P 0.000 0.500 0.000
P 0.500 0.000 0.247
P 0.500 0.000 0.753

## Properties
ΔE_f (raw)	-1.419	eV/atom
Fermi-level density of states	1.36	states/eV/cell
E_tot	-6.34	eV/atom
size of the total moment	0.000	μB/atom

***

The following is a PBE calculation of a relaxed Pm3SbP2 crystal, from the Alexandria database.

abc: 7.395 7.395 10.089
angles: 90.00 90.00 142.57
Fractional coordinates of all 12 atoms:
Pm 0.098 0.902 0.750
Pm 0.379 0.621 0.557
Pm 0.379 0.621 0.943
Pm 0.621 0.379 0.057
Pm 0.621 0.379 0.443
Pm 0.902 0.098 0.250
Sb 0.232 0.768 0.250
Sb 0.768 0.232 0.750
P 0.000 0.000 0.000
P 0.000 0.000 0.500
P 0.488 0.512 0.250
P 0.512 0.488 0.750

## Properties
ΔE_f (raw)	-1.028	eV/atom
Fermi-level density of states	2.21	states/eV/cell
E_tot	-5.89	eV/atom
size of the total moment	0.000	μB/atom

***

The following is a PBE calculation of a relaxed PmSbP crystal, from the Alexandria database.

abc: 4.687 4.687 3.940
angles: 90.00 90.00 120.00
Fractional coordinates of all 3 atoms:
Pm 0.000 0.000 0.000
Sb 0.667 0.333 0.500
P 0.333 0.667 0.499

## Properties
ΔE_f (raw)	-0.507	eV/atom
Fermi-level density of states	1.40	states/eV/cell
E_tot	-5.27	eV/atom
size of the total moment	0.000	μB/atom
relative energy among the computed polymorphs	222	meV per atom

***

The following is a PBE calculation of a relaxed Pm6Sb2PSe3 crystal, from the Alexandria database.

abc: 9.615 9.615 8.616
angles: 102.65 102.65 25.71
Fractional coordinates of all 12 atoms:
Pm 0.002 0.002 0.271
Pm 0.338 0.338 0.910
Pm 0.343 0.343 0.428
Pm 0.657 0.657 0.572
Pm 0.662 0.662 0.090
Pm 0.998 0.998 0.729
Sb 0.167 0.167 0.835
Sb 0.833 0.833 0.165
P 0.500 0.500 0.500
Se 0.169 0.169 0.336
Se 0.500 0.500 0.000
Se 0.831 0.831 0.664

## Properties
ΔE_f (raw)	-1.593	eV/atom
Fermi-level density of states	4.79	states/eV/cell
E_tot	-5.98	eV/atom
size of the total moment	0.000	μB/atom